Entry 1:
# Pt2Cl

A relaxed structure of Pt2Cl (PBE, Alexandria via LeMat-Bulk).

Lattice parameters (Å, degrees): 2.8610 2.8610 25.5154 90.00 90.00 90.00
Space group I4_1/amd (No. 141, origin choice 2)
Symmetry-distinct sites (fractional):
Pt  0.0000  0.2500  0.2925 (multiplicity 8)
Cl  0.0000  0.2500  0.8750 (multiplicity 4)

Formation energy (no corrections)   0.6263 eV/atom
ρ   13.54 g/cm³
Total magnetic moment   0.000 μB per atom

***

Entry 2:
# PtCl2

A relaxed structure of PtCl2 (PBE, Alexandria via LeMat-Bulk).

Lattice parameters (Å, degrees): 8.6470 3.4482 6.7666 90.00 113.99 90.00
Space group C2/m (No. 12)
Symmetry-distinct sites (fractional):
Pt  0.0000  0.0000  0.0000 (multiplicity 2)
Cl  0.0632  0.5000  0.2505 (multiplicity 4)

Formation energy (no corrections)   -0.3320 eV/atom
ρ   4.79 g/cm³
Total magnetic moment   0.000 μB per atom